Here is crystalline Ba3NaBe2O6 at its relaxed geometry from Alexandria. Energies are from PBE-GGA.

Values from the calculation:
crystal system: trigonal
raw total energy: -5.955 eV per atom
uncorrected formation energy: -218 kJ per mole of atoms

Cell lengths 5.8749, 5.8749, 6.8577 Å; angles 90.00, 90.00, 120.00 degrees
Closest atoms and distances in Å follow each position.
Sites, in units of the cell vectors:
Ba  0.0000  0.0000  0.0000  6 O 2.68
Ba  0.3333  0.6667  0.6637  1 Be 2.83, 9 O 2.97-3.04
Ba  0.6667  0.3333  0.3363  1 Be 2.83, 9 O 2.97-3.04
Na  0.0000  0.0000  0.5000  6 O 2.41
Be  0.3333  0.6667  0.2517  3 O 1.53
Be  0.6667  0.3333  0.7483  3 O 1.53
O  0.1840  0.3680  0.2793  1 Be 1.53
O  0.1840  0.8160  0.2793  1 Be 1.53
O  0.3680  0.1840  0.7207  1 Be 1.53
O  0.6320  0.8160  0.2793  1 Be 1.53
O  0.8160  0.1840  0.7207  1 Be 1.53
O  0.8160  0.6320  0.7207  1 Be 1.53



Here is crystalline K2MgSc at its relaxed geometry from Alexandria. Energies are from PBE-GGA.

Values from the calculation:
energy of formation from the pure elements: 0.501 eV/atom
crystal system: orthorhombic
raw total energy: -2.029 eV per atom

Cell lengths 3.5256, 3.5256, 13.2737 Å; angles 90.00, 90.00, 114.73 degrees
Closest atoms and distances in Å follow each position.
Sites, in units of the cell vectors:
K  0.0000  0.0000  0.2448  6 K 3.53-3.80, 2 Mg 3.76, 2 Sc 3.88
K  0.0000  0.0000  0.7552  6 K 3.53-3.80, 2 Mg 3.76, 2 Sc 3.88
Mg  0.5000  0.5000  0.0000  6 Mg 3.53-3.80, 4 K 3.76
Sc  0.5000  0.5000  0.5000  6 Sc 3.53-3.80, 4 K 3.88



Here is crystalline Tm2BeCo5B2 at its relaxed geometry from Alexandria. Energies are from PBE-GGA.

Values from the calculation:
energy of formation from the pure elements: -0.326 eV/atom
crystal system: tetragonal
raw total energy: -6.481 eV per atom

Cell lengths 8.8374, 8.8374, 2.9678 Å; angles 90.00, 90.00, 90.00 degrees
Closest atoms and distances in Å follow each position.
Sites, in units of the cell vectors:
Tm  0.1770  0.3230  0.0000  3 B 2.52-2.68, 10 Co 2.66-2.77
Tm  0.3230  0.8230  0.0000  3 B 2.52-2.68, 10 Co 2.66-2.77
Tm  0.6770  0.1770  0.0000  3 B 2.52-2.68, 10 Co 2.66-2.77
Tm  0.8230  0.6770  0.0000  3 B 2.52-2.68, 10 Co 2.66-2.77
Be  0.0000  0.0000  0.0000  8 Co 2.50
Be  0.5000  0.5000  0.0000  8 Co 2.50
Co  0.0000  0.5000  0.5000  4 B 2.12
Co  0.0665  0.7818  0.5000  2 B 2.11
Co  0.2182  0.0665  0.5000  2 B 2.11
Co  0.2818  0.5665  0.5000  2 B 2.11
Co  0.4335  0.2818  0.5000  2 B 2.11
Co  0.5000  0.0000  0.5000  4 B 2.12
Co  0.5665  0.7182  0.5000  2 B 2.11
Co  0.7182  0.4335  0.5000  2 B 2.11
Co  0.7818  0.9335  0.5000  2 B 2.11
Co  0.9335  0.2182  0.5000  2 B 2.11
B  0.1211  0.6211  0.0000  6 Co 2.11-2.12
B  0.3789  0.1211  0.0000  6 Co 2.11-2.12
B  0.6211  0.8789  0.0000  6 Co 2.11-2.12
B  0.8789  0.3789  0.0000  6 Co 2.11-2.12



Here is crystalline SrMg2Te at its relaxed geometry from Alexandria. Energies are from PBE-GGA.

Values from the calculation:
crystal system: tetragonal
raw total energy: -2.444 eV per atom
uncorrected formation energy: -43 kJ per mole of atoms

Cell lengths 7.2136, 7.2136, 7.2136 Å; angles 101.27, 101.27, 127.53 degrees
Closest atoms and distances in Å follow each position.
Sites, in units of the cell vectors:
Sr  0.0000  0.0000  0.0000  2 Te 3.19
Sr  0.7500  0.2500  0.5000  2 Te 3.19
Mg  0.1761  0.6250  0.0511  2 Te 3.03, 2 Mg 3.32
Mg  0.3750  0.4261  0.5511  2 Te 3.03, 2 Mg 3.32
Mg  0.5739  0.1250  0.9489  2 Te 3.03, 2 Mg 3.32
Mg  0.8750  0.8239  0.4489  2 Te 3.03, 2 Mg 3.32
Te  0.2500  0.7500  0.5000  4 Mg 3.03, 2 Sr 3.19
Te  0.5000  0.5000  0.0000  4 Mg 3.03, 2 Sr 3.19



> What is the raw total energy in the fourth record?

-2.444 eV per atom